A geometry-optimized ZrPaGe2 structure, computed with PBE.

Values from the calculation:
- Magnetic moment: 0.24 μB per formula unit

abc: 3.0816 3.0816 10.8657
angles: 81.85 81.85 60.00
Last column: nearest neighbours and their distance in Å.
Positions (direct):
Ge 0.9070 0.9070 0.2791  3 Zr 2.96, 1 Pa 2.99, 6 Ge 3.08
Pa 0.0000 0.0000 0.0000  2 Ge 2.99, 6 Pa 3.08
Ge 0.0930 0.0930 0.7209  3 Zr 2.96, 1 Pa 2.99, 6 Ge 3.08
Zr 0.5000 0.5000 0.5000  6 Ge 2.96, 6 Zr 3.08

A geometry-optimized ZrPaGe structure, computed with PBE.

Values from the calculation:
- Magnetic moment: 0.00 μB per formula unit

abc: 4.0309 4.0309 8.5009
angles: 103.71 103.71 90.00
Last column: nearest neighbours and their distance in Å.
Positions (direct):
Ge 0.3556 0.3556 0.7111  5 Zr 2.80-2.91, 4 Pa 3.07
Zr 0.1805 0.1805 0.3610  5 Ge 2.80-2.91
Pa 0.0000 0.5000 0.0000  4 Pa 2.85, 4 Ge 3.07
Pa 0.5000 0.0000 0.0000  4 Pa 2.85, 4 Ge 3.07
Ge 0.6444 0.6444 0.2889  5 Zr 2.80-2.91, 4 Pa 3.07
Zr 0.8195 0.8195 0.6390  5 Ge 2.80-2.91

A geometry-optimized Zr2PaGe2 structure, computed with PBE.

Values from the calculation:
- Magnetic moment: 0.00 μB per formula unit

abc: 7.1661 7.1661 5.4611
angles: 110.70 110.70 98.59
Last column: nearest neighbours and their distance in Å.
Positions (direct):
Ge 0.3734 0.1266 0.2500  4 Zr 2.82-2.84, 1 Pa 2.90
Pa 0.1066 0.3934 0.2500  4 Ge 2.87-3.20
Ge 0.1878 0.3122 0.7500  4 Zr 2.68-2.78, 2 Pa 2.87
Pa 0.8934 0.6066 0.7500  4 Ge 2.87-3.20
Ge 0.8122 0.6878 0.2500  4 Zr 2.68-2.78, 2 Pa 2.87
Zr 0.5884 0.2785 0.9755  4 Ge 2.68-2.84, 1 Zr 2.95
Zr 0.7785 0.0884 0.4755  4 Ge 2.68-2.84, 1 Zr 2.95
Ge 0.6266 0.8734 0.7500  4 Zr 2.82-2.84, 1 Pa 2.90
Zr 0.2215 0.9116 0.5245  4 Ge 2.68-2.84, 1 Zr 2.95
Zr 0.4116 0.7215 0.0245  4 Ge 2.68-2.84, 1 Zr 2.95

A geometry-optimized ZrPa2Ge3 structure, computed with PBE.

Values from the calculation:
- Magnetic moment: 0.00 μB per formula unit

abc: 7.8399 7.8399 5.6097
angles: 103.60 103.60 119.45
Last column: nearest neighbours and their distance in Å.
Positions (direct):
Ge 0.2513 0.2416 0.7636  2 Zr 2.78-2.82, 4 Pa 2.93-3.00
Ge 0.9083 0.5847 0.7636  2 Zr 2.78-2.82, 4 Pa 2.93-3.00
Ge 0.0554 0.3888 0.2162  2 Zr 2.84, 4 Pa 2.87-2.96
Zr 0.6599 0.3401 0.0000  6 Ge 2.78-2.84
Pa 0.1750 0.8250 0.5000  6 Ge 2.93-3.00
Pa 0.8333 0.1667 0.5000  6 Ge 2.87-2.95
Pa 0.3333 0.6667 0.0000  6 Ge 2.95-2.96
Ge 0.4153 0.0917 0.2364  2 Zr 2.78-2.82, 4 Pa 2.93-3.00
Zr 0.0067 0.9933 0.0000  6 Ge 2.78-2.84
Pa 0.4917 0.5083 0.5000  6 Ge 2.93-3.00
Ge 0.7584 0.7487 0.2364  2 Zr 2.78-2.82, 4 Pa 2.93-3.00
Ge 0.6112 0.9446 0.7838  2 Zr 2.84, 4 Pa 2.87-2.96

| no. | V (Å³ per cell) | energy (eV per cell) |
| --- | --- | --- |
| 1 | 88.2 | -27.21 |
| 2 | 130.1 | -48.39 |
| 3 | 233.0 | -74.02 |
| 4 | 265.6 | -88.16 |